## Ac2ErTm (PBE-GGA)

Data for an optimized crystal structure of Ac2ErTm.

Cell lengths 3.778, 3.778, 12.186 Å; angles 81.08, 81.08, 60.00 degrees
Sites, in units of the cell vectors:
Ac  0.250  0.250  0.250
Er  0.499  0.499  0.503
Ac  0.083  0.083  0.750
Tm  0.668  0.668  0.997

Summary:
Calculated total energy ... -4.219 eV per atom
Crystal system ... trigonal
Distance to the lowest polymorph of the same formula ... 0.035 eV per atom
D(E_F) ... 6.188 states/eV/cell
E_form ... 93 meV per atom
SG ... R3m (160)